Entry from OQMD: UNbPb after structural relaxation (PBE-GGA).

a = 4.887 Å, b = 4.887 Å, c = 4.887 Å
α = 60.00°, β = 60.00°, γ = 60.00°
Positions (direct):
1 U 0.000 0.000 0.000
2 Nb 0.750 0.750 0.750
3 Pb 0.250 0.250 0.250

mass density = 10.83 g/cm³
symmetry = F-43m (216)
energy above the lowest structure with this stoichiometry = 50.99 kJ/mol of atoms